First-principles (PBE) data for MnTlSi2S6 after structural relaxation, as listed in Alexandria.

The structure in POSCAR format:
```
MnTlSi2S6
1.0
6.2067 -7.0722 0.0000
6.2067 7.0722 0.0000
-1.8427 0.0000 5.8617
Mn Tl Si S
2 2 4 12
direct
0.2152 0.7848 0.7500 Mn
0.7848 0.2152 0.2500 Mn
0.1077 0.8923 0.2500 Tl
0.8923 0.1077 0.7500 Tl
0.2300 0.3764 0.3625 Si
0.3764 0.2300 0.8625 Si
0.6236 0.7700 0.1375 Si
0.7700 0.6236 0.6375 Si
0.0382 0.2103 0.2918 S
0.1835 0.5921 0.4536 S
0.2103 0.0382 0.7918 S
0.2986 0.4093 0.0526 S
0.4079 0.8165 0.0464 S
0.4093 0.2986 0.5526 S
0.5907 0.7014 0.4474 S
0.5921 0.1835 0.9536 S
0.7014 0.5907 0.9474 S
0.7897 0.9618 0.2082 S
0.8165 0.4079 0.5464 S
0.9618 0.7897 0.7082 S
```

Summary:
final energy = -5.144 eV/atom
space-group type = C2/c
raw formation energy = -429 meV/atom